The following is a PBE-GGA calculation of PmHoMn4 after structural relaxation, from Alexandria via LeMat-Bulk.

Summary:
total DFT energy (no corrections)	-179.109	eV per cell
energy of formation from the pure elements	0.205	eV/atom
density of states at the Fermi level	29.9	states/eV per cell
spin magnetization	6.0	μB/f.u.
crystal system	cubic

Cell and atoms, written as CIF:
```
data_PmHoMn4
_chemical_formula_sum 'Pm4 Ho4 Mn16'
_symmetry_space_group_name_H-M 'F -4 3 m'
_symmetry_Int_Tables_number 216
_symmetry_space_group_name_Hall 'F -4 2 3'
_cell_length_a 7.322
_cell_length_b 7.322
_cell_length_c 7.322
_cell_angle_alpha 90.00
_cell_angle_beta 90.00
_cell_angle_gamma 90.00
loop_
_atom_site_label
_atom_site_fract_x
_atom_site_fract_y
_atom_site_fract_z
Pm1 0.000 0.000 0.000
Ho1 0.250 0.250 0.250
Mn1 0.124 0.124 0.624
```